K2Ca2Ag: relaxed, PBE-GGA.

Summary:
DFT formation energy = 0.3250 eV/atom
Total moment = 0.00 Bohr magnetons per cell
VASP energy = -1.48 eV per atom

a b c (Å): 4.794 4.794 22.086
angles (deg): 90.00 90.00 90.00
Element x y z (fractional)
K 0.000 0.000 0.085
K 0.000 0.000 0.915
K 0.500 0.500 0.415
K 0.500 0.500 0.585
Ca 0.000 0.500 0.250
Ca 0.000 0.500 0.750
Ca 0.500 0.000 0.250
Ca 0.500 0.000 0.750
Ag 0.000 0.000 0.500
Ag 0.500 0.500 0.000